Record 1
DFT (PBE) results for Na2CuHgP after structural relaxation.

Results
Symmetry = P4/mmm
Electronic total energy = -2.683 eV per atom
Calculated formation energy = -0.19 eV/atom
Magnetic moment = 0.000 μB per cell

Lattice parameters (Å, degrees): 5.558 5.558 4.297 90.00 90.00 90.00
Positions (direct):
Na1 0.000 0.500 0.000
Na2 0.500 0.000 0.000
Cu1 0.000 0.000 0.500
Hg1 0.500 0.500 0.500
P1 0.000 0.000 0.000

---

Record 2
DFT (PBE) results for Na2Cu2HgPd5 after structural relaxation.

Results
Symmetry = P4/mbm
Electronic total energy = -3.806 eV per atom
Calculated formation energy = -0.10 eV/atom
Magnetic moment = 0.000 μB per cell

Lattice parameters (Å, degrees): 9.207 9.207 4.063 90.00 90.00 90.00
Positions (direct):
Na1 0.176 0.324 0.000
Na2 0.324 0.824 0.000
Na3 0.676 0.176 0.000
Na4 0.824 0.676 0.000
Cu1 0.119 0.619 0.000
Cu2 0.381 0.119 0.000
Cu3 0.619 0.881 0.000
Cu4 0.881 0.381 0.000
Hg1 0.000 0.000 0.000
Hg2 0.500 0.500 0.000
Pd1 0.000 0.500 0.500
Pd2 0.071 0.791 0.500
Pd3 0.209 0.071 0.500
Pd4 0.291 0.571 0.500
Pd5 0.429 0.291 0.500
Pd6 0.500 0.000 0.500
Pd7 0.571 0.709 0.500
Pd8 0.709 0.429 0.500
Pd9 0.791 0.929 0.500
Pd10 0.929 0.209 0.500

---

Record 3
DFT (PBE) results for RbNa2CuHg after structural relaxation.

Results
Symmetry = P4/mmm
Electronic total energy = -1.548 eV per atom
Calculated formation energy = 0.05 eV/atom
Magnetic moment = 0.000 μB per cell

Lattice parameters (Å, degrees): 5.678 5.678 5.212 90.00 90.00 90.00
Positions (direct):
Rb1 0.000 0.000 0.000
Na1 0.000 0.500 0.500
Na2 0.500 0.000 0.500
Cu1 0.500 0.500 0.500
Hg1 0.500 0.500 0.000

---

Record 4
DFT (PBE) results for NaCuHg2Sb after structural relaxation.

Results
Symmetry = P4/mmm
Electronic total energy = -1.978 eV per atom
Magnetic moment = 0.000 μB per cell
Formation energy from raw total energies = 0.050 eV per atom

Lattice parameters (Å, degrees): 5.129 5.129 5.199 90.00 90.00 90.00
Positions (direct):
Na1 0.000 0.000 0.000
Cu1 0.500 0.500 0.500
Hg1 0.000 0.500 0.500
Hg2 0.500 0.000 0.500
Sb1 0.500 0.500 0.000